ZnP2Au PBE-GGA optimized geometry; energy = -3.46 eV per atom; M_tot = 0.0 μB per formula unit; energy of formation = 0.38 eV/atom
1.0
-1.331 2.478 4.993
1.331 -2.478 4.993
1.331 2.478 -4.993
Zn P Au
1 2 1
Direct
0.000 0.000 0.000
0.256 0.756 0.500
0.744 0.244 0.500
0.500 0.500 0.000

ZnPAu PBE-GGA optimized geometry; energy = -3.12 eV per atom; M_tot = 0.0 μB per formula unit; energy of formation = 0.20 eV/atom
1.0
-1.804 1.804 3.861
1.804 -1.804 3.861
1.804 1.804 -3.861
Zn P Au
1 1 1
Direct
0.000 0.000 0.000
0.669 0.669 0.000
0.336 0.336 0.000

Which formula does entry 1 have?
ZnP2Au

M_tot of number 2 (ZnPAu)?
0.0 μB per formula unit

energy of number 2 (ZnPAu)?
-3.12 eV per atom